This record from Alexandria via LeMat-Bulk describes a geometry-optimized Li4MnCo3O8 structure. The functional is PBE+U.

```
16
Lattice="5.8431 0.0000 0.0000 0.0000 5.1090 0.0486 0.0000 1.7316 4.8577" Properties=species:S:1:pos:R:3 pbc="T T T"
Li 4.3859 3.4203 2.4532
Li 0.0000 0.8658 2.4289
Li 1.4572 3.4203 2.4532
Li 2.9216 0.8658 2.4289
Mn 2.9216 2.5545 0.0243
Co 4.4015 0.0000 0.0000
Co 0.0000 2.5545 0.0243
Co 1.4416 0.0000 0.0000
O 4.3177 1.7900 1.1547
O 0.0000 4.2323 1.1334
O 1.5254 1.7900 1.1547
O 2.9216 4.1899 1.0773
O 4.3177 5.0506 3.7516
O 0.0000 2.6083 3.7729
O 1.5254 5.0506 3.7516
O 2.9216 2.6507 3.8290
```

Properties
density: 4.45 Mg/m³
final energy: -5.8558 eV/atom
energy above the most stable polymorph in this dataset: 36 meV/atom
space group: P2/m (10)